DFT (PBEsol) results for a geometry-optimized CrInRh2 structure.

a b c (Å): 3.1027 3.1150 6.0782
angles (deg): 90.00 90.00 90.00
Fractional coordinates of all 4 atoms:
Cr (0.0000, 0.0000, 0.0000)
In (0.0000, 0.0000, 0.5000)
Rh (0.5000, 0.5000, 0.2275)
Rh (0.5000, 0.5000, 0.7725)

DOS at the Fermi energy, states/eV/atom: 0.796
Symmetry: Pmmm, No. 47
Volume, Å³ per atom: 14.7
Energy relative to the elements, kJ/mol of formula units: -52



DFT (PBEsol) results for a geometry-optimized LaCdSbI2 structure.

a b c (Å): 5.5483 5.5483 5.6729
angles (deg): 90.00 90.00 90.00
Fractional coordinates of all 5 atoms:
La (0.0000, 0.0000, 0.0000)
Cd (0.5000, 0.5000, 0.5000)
Sb (0.5000, 0.5000, 0.0000)
I (0.0000, 0.5000, 0.5000)
I (0.5000, 0.0000, 0.5000)

DOS at the Fermi energy, states/eV/atom: 0.687
Symmetry: P4/mmm, No. 123
Raw formation energy, meV/atom: -202.9
Volume, Å³ per atom: 34.9



DFT (PBEsol) results for a geometry-optimized TlFeCuSe2 structure.

a b c (Å): 7.4850 7.4850 7.4850
angles (deg): 150.49 150.49 42.22
Fractional coordinates of all 5 atoms:
Tl (0.0000, 0.0000, 0.0000)
Fe (0.2500, 0.7500, 0.5000)
Cu (0.7500, 0.2500, 0.5000)
Se (0.3581, 0.3581, 0.0000)
Se (0.6419, 0.6419, 0.0000)

DOS at the Fermi energy, states/eV/atom: 0.769
Symmetry: I-4m2, No. 119
Raw formation energy, meV/atom: -182.2
Volume, Å³ per atom: 20.3



Repeat the first record exactly.
DFT (PBEsol) results for a geometry-optimized CrInRh2 structure.

a b c (Å): 3.1027 3.1150 6.0782
angles (deg): 90.00 90.00 90.00
Fractional coordinates of all 4 atoms:
Cr (0.0000, 0.0000, 0.0000)
In (0.0000, 0.0000, 0.5000)
Rh (0.5000, 0.5000, 0.2275)
Rh (0.5000, 0.5000, 0.7725)

DOS at the Fermi energy, states/eV/atom: 0.796
Symmetry: Pmmm, No. 47
Volume, Å³ per atom: 14.7
Energy relative to the elements, kJ/mol of formula units: -52



- volume of number 2 (LaCdSbI2)?
  34.9 Å³ per atom